Below is a PBEsol-optimized structure of Ti3AlRe, with properties calculated at the meta-GGA SCAN level.

Lattice parameters (Å, degrees): 4.6810 4.6810 4.6810 90.00 90.00 90.00
Last column: nearest neighbours and their distance in Å.
Space group Pm-3m (No. 221)
Symmetry-distinct sites (fractional):
Ti 0.0000 0.0000 0.5000  2 Re 2.34
Al 0.5000 0.5000 0.5000  12 Ti 3.31
Re 0.0000 0.0000 0.0000  6 Ti 2.34

=====

Below is a PBEsol-optimized structure of CaMgS2, with properties calculated at the meta-GGA SCAN level.

## Properties
As for the uncorrected formation energy: -2.030 eV/atom.

Lattice parameters (Å, degrees): 3.8308 3.8308 18.7110 90.00 90.00 120.00
Last column: nearest neighbours and their distance in Å.
Space group R-3m (No. 166, hexagonal axes)
Symmetry-distinct sites (fractional):
Ca 0.0000 0.0000 0.0000  6 S 2.78
Mg 0.0000 0.0000 0.5000  6 S 2.63
S 0.0000 0.0000 0.2432  3 Mg 2.63, 3 Ca 2.78

=====

Below is a PBEsol-optimized structure of Zn7Hg, with properties calculated at the meta-GGA SCAN level.

Lattice parameters (Å, degrees): 7.8768 7.8768 7.8768 90.00 90.00 90.00
Last column: nearest neighbours and their distance in Å.
Space group Fm-3m (No. 225)
Symmetry-distinct sites (fractional):
Zn 0.0000 0.0000 0.0000  12 Zn 2.78
Zn 0.0000 0.2500 0.2500  2 Hg 2.78, 10 Zn 2.78
Hg 0.0000 0.0000 0.5000  12 Zn 2.78

=====

Below is a PBEsol-optimized structure of Mn2CuOs, with properties calculated at the meta-GGA SCAN level.

Lattice parameters (Å, degrees): 8.4519 2.6075 4.3675 90.00 100.21 90.00
Last column: nearest neighbours and their distance in Å.
Space group C2/m (No. 12)
Symmetry-distinct sites (fractional):
Mn 0.2502 0.0000 0.2466  6 Mn 2.52-2.61, 3 Cu 2.53-2.55, 3 Os 2.55-2.56
Cu 0.0000 0.5000 0.0000  6 Mn 2.53-2.55, 4 Os 2.54, 2 Cu 2.61
Os 0.0000 0.0000 0.5000  4 Cu 2.54, 6 Mn 2.55-2.56, 2 Os 2.61

=====

Below is a PBEsol-optimized structure of AgOsO3, with properties calculated at the meta-GGA SCAN level.

## Properties
As for the uncorrected formation energy: -0.592 eV/atom.

Lattice parameters (Å, degrees): 3.8543 3.8543 3.8543 90.00 90.00 90.00
Last column: nearest neighbours and their distance in Å.
Space group Pm-3m (No. 221)
Symmetry-distinct sites (fractional):
Ag 0.0000 0.0000 0.0000  12 O 2.73
Os 0.5000 0.5000 0.5000  6 O 1.93
O 0.0000 0.5000 0.5000  2 Os 1.93

=====

Below is a PBEsol-optimized structure of TeRhAu, with properties calculated at the meta-GGA SCAN level.

## Properties
As for the uncorrected formation energy: 0.146 eV/atom. Its offset from the most stable computed form is 181.0 meV/atom.

Lattice parameters (Å, degrees): 6.2423 6.2423 6.2423 90.00 90.00 90.00
Last column: nearest neighbours and their distance in Å.
Space group F-43m (No. 216)
Symmetry-distinct sites (fractional):
Te 0.0000 0.0000 0.0000  4 Rh 2.70, 4 Au 2.70
Rh 0.2500 0.2500 0.7500  4 Te 2.70
Au 0.2500 0.2500 0.2500  4 Te 2.70

=====

Below is a PBEsol-optimized structure of Sc2InPb, with properties calculated at the meta-GGA SCAN level.

Lattice parameters (Å, degrees): 3.2508 3.2508 8.5226 90.00 90.00 90.00
Last column: nearest neighbours and their distance in Å.
Space group P4/mmm (No. 123)
Symmetry-distinct sites (fractional):
Sc 0.0000 0.0000 0.2436  4 In 3.10, 4 Pb 3.17, 4 Sc 3.25
In 0.5000 0.5000 0.0000  8 Sc 3.10, 4 In 3.25
Pb 0.5000 0.5000 0.5000  8 Sc 3.17, 4 Pb 3.25

=====

Below is a PBEsol-optimized structure of CuRuC3, with properties calculated at the meta-GGA SCAN level.

Lattice parameters (Å, degrees): 3.9121 3.9121 3.9121 90.00 90.00 90.00
Last column: nearest neighbours and their distance in Å.
Space group Pm-3m (No. 221)
Symmetry-distinct sites (fractional):
Cu 0.0000 0.0000 0.0000  12 C 2.77
Ru 0.5000 0.5000 0.5000  6 C 1.96
C 0.0000 0.5000 0.5000  2 Ru 1.96

=====

Below is a PBEsol-optimized structure of Li2SiRu, with properties calculated at the meta-GGA SCAN level.

## Properties
As for the uncorrected formation energy: -0.324 eV/atom.

Lattice parameters (Å, degrees): 2.9155 3.9056 4.3871 90.00 90.00 90.00
Last column: nearest neighbours and their distance in Å.
Space group Pmmm (No. 47)
Symmetry-distinct sites (fractional):
Li 0.0000 0.0000 0.0000  4 Li 2.44, 4 Ru 2.63
Li 0.5000 0.5000 0.0000  4 Li 2.44, 4 Si 2.63
Si 0.0000 0.5000 0.5000  4 Ru 2.44, 4 Li 2.63
Ru 0.5000 0.0000 0.5000  4 Si 2.44, 4 Li 2.63

=====

Below is a PBEsol-optimized structure of MnAgSe2, with properties calculated at the meta-GGA SCAN level.

## Properties
As for the uncorrected formation energy: -0.012 eV/atom.

Lattice parameters (Å, degrees): 2.9712 2.9712 8.1376 90.00 90.00 90.00
Last column: nearest neighbours and their distance in Å.
Space group P4mm (No. 99)
Symmetry-distinct sites (fractional):
Mn 0.0000 0.0000 0.0000  4 Se 2.43
Ag 0.5000 0.5000 0.7613  4 Mn 2.86, 5 Se 2.89-3.16, 4 Ag 2.97
Se 0.0000 0.0000 0.5177  4 Ag 2.89, 4 Se 2.97
Se 0.5000 0.5000 0.1502  4 Mn 2.43

=====

Below is a PBEsol-optimized structure of Er2Au, with properties calculated at the meta-GGA SCAN level.

Lattice parameters (Å, degrees): 6.9113 4.8376 8.7164 90.00 90.00 90.00
Last column: nearest neighbours and their distance in Å.
Space group Pnma (No. 62)
Symmetry-distinct sites (fractional):
Er 0.0122 0.2500 0.1779  3 Au 2.88-3.07
Er 0.1514 0.2500 0.5807  4 Au 2.83-2.97
Au 0.2420 0.2500 0.9022  7 Er 2.83-3.07

=====

Below is a PBEsol-optimized structure of LiIn2Hg, with properties calculated at the meta-GGA SCAN level.

Lattice parameters (Å, degrees): 4.3322 4.3322 9.2551 90.00 90.00 90.00
Last column: nearest neighbours and their distance in Å.
Space group I4/mmm (No. 139)
Symmetry-distinct sites (fractional):
Li 0.0000 0.0000 0.0000  4 Hg 3.06, 8 In 3.17
In 0.0000 0.5000 0.2500  4 In 3.06, 4 Hg 3.17, 4 Li 3.17
Hg 0.0000 0.0000 0.5000  4 Li 3.06, 8 In 3.17

=====

| no. | VASP energy (eV/atom) |
| --- | --- |
| 1 | -24.863 |
| 2 | -10.503 |
| 3 | -20.241 |
| 4 | -30.732 |
| 5 | -24.980 |
| 6 | -46.580 |
| 7 | -34.958 |
| 8 | -13.803 |
| 9 | -12.730 |
| 10 | -22.456 |
| 11 | -57.515 |
| 12 | -34.516 |